Li2PaTaO6, optimized geometry, DFT PBE; size of the total moment = 0.00 μB/cell; DOS(E_F) = 0.00 states/eV/f.u.; formation energy from raw total energies = -2.90 eV per atom; SG = P2_1/c (14)
1.0
5.3900 0.0000 -0.0046
0.0000 5.7533 0.0000
0.0097 0.0000 7.9525
O Li Pa Ta
12 4 2 2
Direct
0.6697 0.7013 0.4386
0.8740 0.4736 0.7624
0.1948 0.8204 0.5632
0.8303 0.2013 0.0614
0.6260 0.9736 0.7376
0.1260 0.5264 0.2376
0.6948 0.6796 0.0632
0.3303 0.2987 0.5614
0.3052 0.3204 0.9368
0.3740 0.0264 0.2624
0.8052 0.1796 0.4368
0.1697 0.7987 0.9386
0.0043 0.0402 0.2518
0.9957 0.9598 0.7482
0.5043 0.4598 0.7518
0.4957 0.5402 0.2482
0.5000 0.0000 0.0000
0.0000 0.5000 0.5000
0.5000 0.0000 0.5000
0.0000 0.5000 0.0000

=====

ZrSi, optimized geometry, DFT PBE; size of the total moment = 0.00 μB/cell; DOS(E_F) = 0.86 states/eV/f.u.; formation energy from raw total energies = -0.53 eV per atom; SG = Cm (8)
1.0
-2.2098 -3.8725 -2.9848
-0.4337 -5.3450 -0.1772
-5.3835 -0.6819 3.0481
Zr Si
3 3
Direct
0.0056 0.0056 0.4046
0.7498 0.7498 0.0732
0.6793 0.6793 0.6412
0.3911 0.3911 0.7449
0.0355 0.0355 0.9418
0.3054 0.3054 0.3610

=====

Dy2GaAs, optimized geometry, DFT PBE; size of the total moment = 0.00 μB/cell; DOS(E_F) = 3.92 states/eV/f.u.; ΔE_f = -453 meV/atom; SG = R-3m (166)
1.0
3.8352 0.0000 0.0000
1.9176 3.3214 0.0000
1.9176 1.1071 9.4704
As Dy Ga
1 2 1
Direct
0.5000 0.5000 0.5000
0.1061 0.1061 0.6816
0.8939 0.8939 0.3184
0.0000 0.0000 0.0000

=====

Dy6TmSc12, optimized geometry, DFT PBE; size of the total moment = 0.65 μB/cell; DOS(E_F) = 28.02 states/eV/f.u.; ΔE_f = 517 meV/atom; SG = R-3m (166)
1.0
-4.7435 -6.7110 1.3008
7.1156 -2.6173 3.4276
-2.7897 4.9049 6.1147
Sc Dy Tm
12 6 1
Direct
0.8852 0.5000 0.1148
0.1148 0.5000 0.8852
0.8852 0.1148 0.5000
0.4597 0.4597 0.1692
0.1692 0.4597 0.4597
0.5000 0.8852 0.1148
0.4597 0.1692 0.4597
0.5403 0.8308 0.5403
0.5000 0.1148 0.8852
0.8308 0.5403 0.5403
0.5403 0.5403 0.8308
0.1148 0.8852 0.5000
0.2183 0.2183 0.7426
0.7817 0.7817 0.2574
0.2183 0.7426 0.2183
0.2574 0.7817 0.7817
0.7817 0.2574 0.7817
0.7426 0.2183 0.2183
0.0000 0.0000 0.0000

=====

Q: Which of these has the lowest DOS(E_F)?
A: Li2PaTaO6

=====

Q: Which value of size of the total moment does entry 2 give?
A: 0.00 μB/cell